1.
First-principles (PBE) data for a geometry-optimized OsPdO3 structure, as listed in the Alexandria database.

Calculated values
Its uncorrected formation energy is -0.61 eV per atom. As for the density of states at the Fermi level: 0.59 states/eV per atom. The value obtained for the total magnetization is 0.0 μB/f.u. As for the calculated volume: 13.15 Å³ per atom.

Cell: 5.3898 8.7000 7.0696 Å, 127.52 90.00 90.00°
With the nearest neighbours (Å) after each atom.
Sites, in units of the cell vectors:
Os 0.2486 0.4274 0.3562  6 O 1.85-2.02
Os 0.7514 0.5726 0.6438  6 O 1.85-2.02
Os 0.7486 0.0726 0.1438  6 O 1.85-2.02
Os 0.2514 0.9274 0.8562  6 O 1.85-2.02
Pd 0.7815 0.0255 0.6033  2 O 1.99-2.02
Pd 0.2185 0.9745 0.3967  2 O 1.99-2.02
Pd 0.2815 0.4745 0.8967  2 O 1.99-2.02
Pd 0.7185 0.5255 0.1033  2 O 1.99-2.02
O 0.0784 0.6747 0.6235  3 Os 2.00-2.02
O 0.9216 0.3253 0.3765  3 Os 2.00-2.02
O 0.5784 0.8253 0.8765  3 Os 2.00-2.02
O 0.4216 0.1747 0.1235  3 Os 2.00-2.02
O 0.5735 0.5532 0.3863  2 Os 1.97-2.01, 1 Pd 2.02
O 0.4265 0.4468 0.6137  2 Os 1.97-2.01, 1 Pd 2.02
O 0.0735 0.9468 0.1137  2 Os 1.97-2.01, 1 Pd 2.02
O 0.9265 0.0532 0.8863  2 Os 1.97-2.01, 1 Pd 2.02
O 0.1221 0.4638 0.1427  1 Os 1.85, 1 Pd 1.99
O 0.8779 0.5362 0.8573  1 Os 1.85, 1 Pd 1.99
O 0.6221 0.0362 0.3573  1 Os 1.85, 1 Pd 1.99
O 0.3779 0.9638 0.6427  1 Os 1.85, 1 Pd 1.99

2.
First-principles (PBE) data for a geometry-optimized K2LiCo structure, as listed in the Alexandria database.

Calculated values
The value obtained for the energy above the most stable polymorph in this dataset is 73.2 meV per atom. As for the density of states at the Fermi level: 0.92 states/eV per atom. The value obtained for the total magnetization is 1.8 μB/f.u. As for the calculated volume: 37.61 Å³ per atom. Its formation energy from the elements is 0.704 eV per atom.

Cell: 4.4733 5.2369 6.9409 Å, 67.72 90.00 90.00°
With the nearest neighbours (Å) after each atom.
Sites, in units of the cell vectors:
Co 0.5000 0.5741 0.7314  2 Li 2.57
K 0.0000 0.9854 0.9073  2 Li 3.52-3.57, 4 Co 3.62-3.63
K 0.5000 0.2734 0.3262  3 Co 3.68-3.82, 4 Li 3.69-3.70
Li 0.0000 0.6671 0.5352  2 Co 2.57

3.
First-principles (PBE) data for a geometry-optimized AcLaTbHg structure, as listed in the Alexandria database.

Calculated values
The value obtained for the energy above the most stable polymorph in this dataset is 0.0 meV per atom. As for the density of states at the Fermi level: 1.38 states/eV per atom. The value obtained for the total magnetization is 0.0 μB/f.u. As for the calculated volume: 33.17 Å³ per atom. Its formation energy from the elements is -0.229 eV per atom.

Cell: 3.8249 3.8249 9.0694 Å, 90.00 90.00 90.00°
With the nearest neighbours (Å) after each atom.
Sites, in units of the cell vectors:
Ac 0.0000 0.0000 0.0815  4 Tb 3.73, 4 La 3.81, 4 Ac 3.82
La 0.5000 0.5000 0.7854  4 Hg 3.43, 4 Ac 3.81, 1 Tb 3.81, 4 La 3.82
Tb 0.5000 0.5000 0.3648  4 Hg 3.20
Hg 0.0000 0.0000 0.5530  4 Tb 3.20, 4 La 3.43

4.
First-principles (PBE) data for a geometry-optimized SrRu2Pt structure, as listed in the Alexandria database.

Calculated values
The value obtained for the energy above the most stable polymorph in this dataset is 486.9 meV per atom. As for the density of states at the Fermi level: 1.46 states/eV per atom. The value obtained for the total magnetization is 0.3 μB/f.u. As for the calculated volume: 17.48 Å³ per atom. Its formation energy from the elements is 0.560 eV per atom.

Cell: 5.2210 5.2210 2.7757 Å, 90.00 90.00 112.45°
With the nearest neighbours (Å) after each atom.
Sites, in units of the cell vectors:
Pt 0.0000 0.5000 0.5000  2 Pt 2.78, 2 Sr 2.90, 8 Ru 2.96
Ru 0.0000 0.0000 0.0000  4 Ru 2.78-2.90, 4 Pt 2.96, 4 Sr 2.96
Ru 0.5000 0.5000 0.0000  4 Ru 2.78-2.90, 4 Sr 2.96, 4 Pt 2.96
Sr 0.5000 0.0000 0.5000  2 Sr 2.78, 2 Pt 2.90, 8 Ru 2.96